No. 1
# CrPd5Se4, optimized geometry, DFT PBE
# spin magnetization = 5.76 μB/cell
# uncorrected energy = -5.09 eV per atom
# E_form (uncorrected) = -3.3 kcal/mol of atoms
# calculated density = 8.16 g cm⁻³
data_CrPd5Se4
_cell_length_a 14.5694
_cell_length_b 3.4890
_cell_length_c 7.2266
_cell_angle_alpha 90.00
_cell_angle_beta 93.96
_cell_angle_gamma 90.00
_symmetry_space_group_name_H-M 'C 1 2/m 1'
_symmetry_Int_Tables_number 12
_symmetry_space_group_name_Hall '-C 2y'
loop_
_atom_site_label
_atom_site_type_symbol
_atom_site_fract_x
_atom_site_fract_y
_atom_site_fract_z
_atom_site_occupancy
Cr1 Cr 0.0000 0.0000 0.0000 1
Pd1 Pd 0.0000 0.0000 0.5000 1
Pd2 Pd 0.1106 0.5000 0.2867 1
Pd3 Pd 0.2134 0.5000 0.6221 1
Se1 Se 0.0614 0.5000 0.7594 1
Se2 Se 0.1803 0.0000 0.1044 1

No. 2
# NdTeSe, optimized geometry, DFT PBE
# spin magnetization = 0.00 μB/cell
# uncorrected energy = -5.02 eV per atom
# E_form (uncorrected) = -28.1 kcal/mol of atoms
# calculated density = 6.98 g cm⁻³
data_NdTeSe
_cell_length_a 3.9697
_cell_length_b 3.9697
_cell_length_c 10.5988
_cell_angle_alpha 90.00
_cell_angle_beta 90.00
_cell_angle_gamma 90.00
_symmetry_space_group_name_H-M 'I 4 m m'
_symmetry_Int_Tables_number 107
_symmetry_space_group_name_Hall 'I 4 -2'
loop_
_atom_site_label
_atom_site_type_symbol
_atom_site_fract_x
_atom_site_fract_y
_atom_site_fract_z
_atom_site_occupancy
Nd1 Nd 0.0000 0.0000 0.0000 1
Te1 Te 0.0000 0.0000 0.3260 1
Se1 Se 0.0000 0.0000 0.6145 1

No. 3
# Ba4In2N, optimized geometry, DFT PBE
# spin magnetization = 0.00 μB/cell
# uncorrected energy = -3.34 eV per atom
# E_form (uncorrected) = -6.2 kcal/mol of atoms
# calculated density = 4.70 g cm⁻³
data_Ba4In2N
_cell_length_a 5.7420
_cell_length_b 5.7420
_cell_length_c 16.9961
_cell_angle_alpha 90.00
_cell_angle_beta 90.00
_cell_angle_gamma 90.00
_symmetry_space_group_name_H-M 'I 4/m m m'
_symmetry_Int_Tables_number 139
_symmetry_space_group_name_Hall '-I 4 2'
loop_
_atom_site_label
_atom_site_type_symbol
_atom_site_fract_x
_atom_site_fract_y
_atom_site_fract_z
_atom_site_occupancy
Ba1 Ba 0.0000 0.0000 0.1575 1
Ba2 Ba 0.0000 0.5000 0.0000 1
In1 In 0.0000 0.0000 0.3706 1
N1 N 0.0000 0.0000 0.0000 1

No. 4
# SmDyBiTe, optimized geometry, DFT PBE
# spin magnetization = 0.00 μB/cell
# uncorrected energy = -5.21 eV per atom
# E_form (uncorrected) = -25.9 kcal/mol of atoms
# calculated density = 8.59 g cm⁻³
data_SmDyBiTe
_cell_length_a 4.4634
_cell_length_b 4.4634
_cell_length_c 6.2992
_cell_angle_alpha 90.00
_cell_angle_beta 90.00
_cell_angle_gamma 90.00
_symmetry_space_group_name_H-M 'P 4 m m'
_symmetry_Int_Tables_number 99
_symmetry_space_group_name_Hall 'P 4 -2'
loop_
_atom_site_label
_atom_site_type_symbol
_atom_site_fract_x
_atom_site_fract_y
_atom_site_fract_z
_atom_site_occupancy
Sm1 Sm 0.0000 0.0000 0.0000 1
Dy1 Dy 0.5000 0.5000 0.4985 1
Bi1 Bi 0.5000 0.5000 0.9985 1
Te1 Te 0.0000 0.0000 0.4998 1

Q: What is the E_form (uncorrected) in the fourth record?
A: -25.9 kcal/mol of atoms

Q: Look up the E_form (uncorrected) of the fourth one.
A: -25.9 kcal/mol of atoms